VASP calculation (PBEsol) on a geometry-optimized Cd2Si5N8 structure.

Geometry as POSCAR:
```
Cd2Si5N8
1.0
9.5988 0.0000 0.0000
0.0000 13.5321 0.0000
0.0000 0.0000 10.6151
Cd Si N
16 40 64
direct
0.0431 0.0801 0.1109 Cd
0.0431 0.4199 0.6109 Cd
0.1376 0.0030 0.3947 Cd
0.1376 0.4970 0.8947 Cd
0.3624 0.5030 0.3947 Cd
0.3624 0.9970 0.8947 Cd
0.4569 0.5801 0.1109 Cd
0.4569 0.9199 0.6109 Cd
0.5431 0.0801 0.3891 Cd
0.5431 0.4199 0.8891 Cd
0.6376 0.0030 0.1053 Cd
0.6376 0.4970 0.6053 Cd
0.8624 0.5030 0.1053 Cd
0.8624 0.9970 0.6053 Cd
0.9569 0.5801 0.3891 Cd
0.9569 0.9199 0.8891 Cd
0.0086 0.2149 0.4834 Si
0.0086 0.2851 0.9834 Si
0.0391 0.1544 0.7534 Si
0.0391 0.3456 0.2534 Si
0.1624 0.5446 0.1642 Si
0.1624 0.9554 0.6642 Si
0.2167 0.6494 0.5965 Si
0.2167 0.8506 0.0965 Si
0.2277 0.7247 0.3297 Si
0.2277 0.7753 0.8297 Si
0.2723 0.2247 0.3297 Si
0.2723 0.2753 0.8297 Si
0.2833 0.1494 0.5965 Si
0.2833 0.3506 0.0965 Si
0.3376 0.0446 0.1642 Si
0.3376 0.4554 0.6642 Si
0.4609 0.6544 0.7534 Si
0.4609 0.8456 0.2534 Si
0.4914 0.7149 0.4834 Si
0.4914 0.7851 0.9834 Si
0.5086 0.2149 0.0166 Si
0.5086 0.2851 0.5166 Si
0.5391 0.1544 0.7466 Si
0.5391 0.3456 0.2466 Si
0.6624 0.5446 0.3358 Si
0.6624 0.9554 0.8358 Si
0.7167 0.6494 0.9035 Si
0.7167 0.8506 0.4035 Si
0.7277 0.7247 0.1703 Si
0.7277 0.7753 0.6703 Si
0.7723 0.2247 0.1703 Si
0.7723 0.2753 0.6703 Si
0.7833 0.1494 0.9035 Si
0.7833 0.3506 0.4035 Si
0.8376 0.0446 0.3358 Si
0.8376 0.4554 0.8358 Si
0.9609 0.6544 0.7466 Si
0.9609 0.8456 0.2466 Si
0.9914 0.7149 0.0166 Si
0.9914 0.7851 0.5166 Si
0.0549 0.0293 0.7565 N
0.0549 0.4707 0.2565 N
0.0593 0.6057 0.0579 N
0.0593 0.8943 0.5579 N
0.1157 0.1977 0.6139 N
0.1162 0.2200 0.8780 N
0.1162 0.2800 0.3780 N
0.1157 0.3023 0.1139 N
0.1212 0.6990 0.4660 N
0.1212 0.8010 0.9660 N
0.1368 0.6886 0.7375 N
0.1368 0.8114 0.2375 N
0.2225 0.5252 0.5716 N
0.2225 0.9748 0.0716 N
0.2315 0.1156 0.2580 N
0.2315 0.3844 0.7580 N
0.2685 0.6156 0.2580 N
0.2685 0.8844 0.7580 N
0.2775 0.0252 0.5716 N
0.2775 0.4748 0.0716 N
0.3632 0.1886 0.7375 N
0.3632 0.3114 0.2375 N
0.3788 0.1990 0.4660 N
0.3788 0.3010 0.9660 N
0.3843 0.6977 0.6139 N
0.3838 0.7200 0.8780 N
0.3838 0.7800 0.3780 N
0.3843 0.8023 0.1139 N
0.4407 0.1057 0.0579 N
0.4407 0.3943 0.5579 N
0.4451 0.5293 0.7565 N
0.4451 0.9707 0.2565 N
0.5549 0.0293 0.7435 N
0.5549 0.4707 0.2435 N
0.5593 0.6057 0.4421 N
0.5593 0.8943 0.9421 N
0.6157 0.1977 0.8861 N
0.6162 0.2200 0.6220 N
0.6162 0.2800 0.1220 N
0.6157 0.3023 0.3861 N
0.6212 0.6990 0.0340 N
0.6212 0.8010 0.5340 N
0.6368 0.6886 0.7625 N
0.6368 0.8114 0.2625 N
0.7225 0.5252 0.9284 N
0.7225 0.9748 0.4284 N
0.7315 0.1156 0.2420 N
0.7315 0.3844 0.7420 N
0.7685 0.6156 0.2420 N
0.7685 0.8844 0.7420 N
0.7775 0.0252 0.9284 N
0.7775 0.4748 0.4284 N
0.8632 0.1886 0.7625 N
0.8632 0.3114 0.2625 N
0.8788 0.1990 0.0340 N
0.8788 0.3010 0.5340 N
0.8843 0.6977 0.8861 N
0.8838 0.7200 0.6220 N
0.8838 0.7800 0.1220 N
0.8843 0.8023 0.3861 N
0.9407 0.1057 0.4421 N
0.9407 0.3943 0.9421 N
0.9451 0.5293 0.7435 N
0.9451 0.9707 0.2435 N
```

Calculated values
The calculation puts the formation energy from raw total energies at -0.879 eV/atom. The space group is Pbca (61). For the total magnetic moment, the calculation gives 0.00 μB per formula unit. The total energy is -7.502 eV/atom. The value obtained for the calculated density is 4.599 g/cm3.